[1]
The following is a DFT calculation (PBE-GGA) of a relaxed structure of RbLaSe3.

The structure in extended XYZ format:
```
5
Lattice="5.498 0.000 0.000 0.000 5.498 0.000 0.000 0.000 5.498" Properties=species:S:1:pos:R:3 pbc="T T T"
Rb 0.000 0.000 0.000
La 2.749 2.749 2.749
Se 0.000 0.000 2.749
Se 0.000 2.749 0.000
Se 2.749 0.000 0.000
```

Summary:
Offset from the most stable computed form   1041 meV/atom
Space group   Pm-3m
ΔE_f (raw)   0.00 eV/atom


[2]
The following is a DFT calculation (PBE-GGA) of a relaxed structure of Nd5PaRh6.

The structure in extended XYZ format:
```
12
Lattice="8.246 -2.254 0.000 8.246 2.254 0.000 -1.665 0.000 7.317" Properties=species:S:1:pos:R:3 pbc="T T T"
Nd 0.000 0.000 0.000
Nd 4.640 0.000 2.991
Nd 3.895 0.000 6.687
Nd 10.932 0.000 0.630
Nd 10.187 0.000 4.326
Pa -0.832 0.000 3.659
Rh 1.626 0.000 2.437
Rh 0.940 0.000 5.921
Rh 7.750 0.000 2.116
Rh 7.077 0.000 5.202
Rh 13.887 0.000 1.397
Rh 13.201 0.000 4.881
```

Summary:
E_form   -0.7561 eV per atom
Space group   C2/m


[3]
The following is a DFT calculation (PBE-GGA) of a relaxed structure of Ta2InTc.

The structure in extended XYZ format:
```
4
Lattice="1.565 0.904 8.832 -1.565 0.904 8.832 0.000 -1.807 8.832" Properties=species:S:1:pos:R:3 pbc="T T T"
Ta 0.000 0.000 6.347
Ta 0.000 0.000 20.148
In 0.000 0.000 0.000
Tc 0.000 0.000 13.247
```

Summary:
E_form   0.1721 eV per atom
Space group   R-3m


[4]
The following is a DFT calculation (PBE-GGA) of a relaxed structure of AlInFe3.

The structure in extended XYZ format:
```
5
Lattice="4.749 0.000 0.000 0.000 4.749 0.000 0.000 0.000 4.749" Properties=species:S:1:pos:R:3 pbc="T T T"
Al 0.000 0.000 0.000
In 2.375 2.375 2.375
Fe 0.000 2.375 2.375
Fe 2.375 0.000 2.375
Fe 2.375 2.375 0.000
```

Summary:
Offset from the most stable computed form   673 meV/atom
E_form   1.5122 eV per atom
Space group   Pm-3m


[5]
The following is a DFT calculation (PBE-GGA) of a relaxed structure of FeHg2As.

The structure in extended XYZ format:
```
4
Lattice="1.578 0.911 9.329 -1.578 0.911 9.329 0.000 -1.822 9.329" Properties=species:S:1:pos:R:3 pbc="T T T"
Fe 0.000 0.000 0.000
Hg 0.000 0.000 14.302
Hg 0.000 0.000 20.792
As 0.000 0.000 7.845
```

Summary:
E_form   0.1643 eV per atom
Space group   R3m


[6]
The following is a DFT calculation (PBE-GGA) of a relaxed structure of TaReSe4.

The structure in extended XYZ format:
```
6
Lattice="0.000 3.823 3.823 3.823 0.000 3.823 3.823 3.823 0.000" Properties=species:S:1:pos:R:3 pbc="T T T"
Ta 0.000 0.000 0.000
Re 5.734 5.734 5.734
Se 2.870 2.870 2.870
Se 4.776 4.776 2.870
Se 4.776 2.870 4.776
Se 2.870 4.776 4.776
```

Summary:
Offset from the most stable computed form   2029 meV/atom
Space group   F-43m
ΔE_f (raw)   1.46 eV/atom


[7]
The following is a DFT calculation (PBE-GGA) of a relaxed structure of HfRe2B.

The structure in extended XYZ format:
```
8
Lattice="-1.921 1.921 8.761 1.921 -1.921 8.761 1.921 1.921 -8.761" Properties=species:S:1:pos:R:3 pbc="T T T"
Hf 0.000 0.000 0.000
Hf 0.000 1.921 4.380
Re 0.961 -0.706 6.570
Re 1.215 0.961 2.190
Re 0.961 2.628 -2.190
Re 0.706 0.961 10.951
B 1.921 0.000 4.380
B 0.000 0.000 8.761
```

Summary:
E_form   0.5778 eV per atom
Space group   I-42d


[8]
The following is a DFT calculation (PBE-GGA) of a relaxed structure of Tb2GaCu3Ni12.

The structure in extended XYZ format:
```
18
Lattice="2.945 1.701 8.685 -2.945 1.701 8.685 0.000 -3.401 8.685" Properties=species:S:1:pos:R:3 pbc="T T T"
Tb 0.000 0.000 3.855
Tb 0.000 0.000 22.201
Ga 0.000 0.000 13.028
Cu -1.473 -0.850 8.685
Cu -1.473 0.850 17.371
Cu 0.000 1.701 8.685
Ni 0.000 -2.072 7.368
Ni -1.795 1.036 7.368
Ni -1.282 -0.740 11.210
Ni -1.795 -1.036 18.688
Ni 0.000 -1.480 14.847
Ni -1.282 0.740 14.847
Ni 1.282 -0.740 11.210
Ni 0.000 1.480 11.210
Ni 1.795 1.036 7.368
Ni 1.282 0.740 14.847
Ni 1.795 -1.036 18.688
Ni 0.000 2.072 18.688
```

Summary:
E_form   0.1668 eV per atom
Space group   R-3m


Q: Which formula does entry 4 have?
A: AlInFe3